The following is a DFT calculation (meta-GGA SCAN) of a crystal of RbCa3 relaxed with PBEsol.

Output
* total magnetization: 1.241 Bohr magnetons per cell
* energy of formation: 0.240 eV/atom

abc: 9.103 9.103 9.103
angles: 90.00 90.00 90.00
Space group Fm-3m (No. 225)
Asymmetric unit:
Rb (0.000, 0.000, 0.000) (multiplicity 4)
Ca (0.000, 0.000, 0.500) (multiplicity 4)
Ca (0.250, 0.250, 0.250) (multiplicity 8)

=====

The following is a DFT calculation (meta-GGA SCAN) of a crystal of Rb3CaRh relaxed with PBEsol.

Output
* total magnetization: 0.209 Bohr magnetons per cell
* energy of formation: 0.710 eV/atom

abc: 6.242 6.242 6.242
angles: 90.00 90.00 90.00
Space group Pm-3m (No. 221)
Asymmetric unit:
Rb (0.000, 0.000, 0.500) (multiplicity 3)
Ca (0.500, 0.500, 0.500) (multiplicity 1)
Rh (0.000, 0.000, 0.000) (multiplicity 1)

=====

The following is a DFT calculation (meta-GGA SCAN) of a crystal of RbCa3Rh relaxed with PBEsol.

Output
* total magnetization: 0.071 Bohr magnetons per cell
* energy of formation: -0.196 eV/atom

abc: 9.060 4.117 10.550
angles: 90.00 91.75 90.00
Space group P2_1/m (No. 11)
Asymmetric unit:
Rb (0.248, 0.250, 0.052) (multiplicity 2)
Ca (0.062, 0.750, 0.382) (multiplicity 2)
Ca (0.258, 0.750, 0.688) (multiplicity 2)
Ca (0.429, 0.750, 0.383) (multiplicity 2)
Rh (0.250, 0.250, 0.507) (multiplicity 2)

=====

The following is a DFT calculation (meta-GGA SCAN) of a crystal of RbCaRh3 relaxed with PBEsol.

Output
* total magnetization: 1.918 Bohr magnetons per cell
* energy of formation: 1.356 eV/atom

abc: 4.921 4.921 4.921
angles: 90.00 90.00 90.00
Space group Pm-3m (No. 221)
Asymmetric unit:
Rb (0.000, 0.000, 0.000) (multiplicity 1)
Ca (0.500, 0.500, 0.500) (multiplicity 1)
Rh (0.000, 0.500, 0.500) (multiplicity 3)

=====

The following is a DFT calculation (meta-GGA SCAN) of a crystal of RbCa3Rh relaxed with PBEsol.

Output
* total magnetization: 1.910 Bohr magnetons per cell
* energy of formation: 1.615 eV/atom

abc: 5.344 5.344 5.344
angles: 90.00 90.00 90.00
Space group Pm-3m (No. 221)
Asymmetric unit:
Rb (0.000, 0.000, 0.000) (multiplicity 1)
Ca (0.000, 0.000, 0.500) (multiplicity 3)
Rh (0.500, 0.500, 0.500) (multiplicity 1)

=====

The following is a DFT calculation (meta-GGA SCAN) of a crystal of Rb2Ca2Ru relaxed with PBEsol.

Output
* total magnetization: 5.263 Bohr magnetons per cell
* energy of formation: 1.144 eV/atom

abc: 4.718 4.718 21.596
angles: 90.00 90.00 90.00
Space group I4/mmm (No. 139)
Asymmetric unit:
Rb (0.000, 0.000, 0.081) (multiplicity 4)
Ca (0.000, 0.500, 0.250) (multiplicity 4)
Ru (0.000, 0.000, 0.500) (multiplicity 2)

=====

The following is a DFT calculation (meta-GGA SCAN) of a crystal of RbCa3Ru relaxed with PBEsol.

Output
* total magnetization: 0.000 Bohr magnetons per cell
* energy of formation: 0.218 eV/atom

abc: 5.629 5.629 5.629
angles: 90.00 90.00 90.00
Space group Pm-3m (No. 221)
Asymmetric unit:
Rb (0.000, 0.000, 0.000) (multiplicity 1)
Ca (0.000, 0.500, 0.500) (multiplicity 3)
Ru (0.500, 0.500, 0.500) (multiplicity 1)

=====

The following is a DFT calculation (meta-GGA SCAN) of a crystal of RbSr2CaRu relaxed with PBEsol.

Output
* total magnetization: 0.663 Bohr magnetons per cell
* energy of formation: 1.777 eV/atom

abc: 5.758 5.758 5.441
angles: 90.00 90.00 90.00
Space group P4/mmm (No. 123)
Asymmetric unit:
Rb (0.000, 0.000, 0.000) (multiplicity 1)
Sr (0.000, 0.500, 0.000) (multiplicity 2)
Ca (0.000, 0.000, 0.500) (multiplicity 1)
Ru (0.500, 0.500, 0.500) (multiplicity 1)